Record 1
## TiInTc2C (GGA-PBE)

Data for crystalline TiInTc2C at its relaxed geometry.

Cell and atoms, written as CIF:
```
data_TiInTc2C
_cell_length_a 4.167
_cell_length_b 4.167
_cell_length_c 4.162
_cell_angle_alpha 90.00
_cell_angle_beta 90.00
_cell_angle_gamma 90.00
_symmetry_space_group_name_H-M 'P 4/m m m'
_symmetry_Int_Tables_number 123
_symmetry_space_group_name_Hall '-P 4 2'
loop_
_atom_site_label
_atom_site_type_symbol
_atom_site_fract_x
_atom_site_fract_y
_atom_site_fract_z
Ti1 Ti 0.000 0.000 0.000
In1 In 0.500 0.500 0.000
Tc1 Tc 0.000 0.500 0.500
C1 C 0.000 0.000 0.500
```

Properties
- Total moment: 0.00 μB per cell
- Energy relative to the elements: -11.8 kJ per mole of atoms

=====

Record 2
## AcHoAl2Zn2 (GGA-PBE)

Data for crystalline AcHoAl2Zn2 at its relaxed geometry.

Cell and atoms, written as CIF:
```
data_AcHoAl2Zn2
_cell_length_a 4.5397
_cell_length_b 4.5397
_cell_length_c 7.8699
_cell_angle_alpha 90.00
_cell_angle_beta 90.00
_cell_angle_gamma 120.00
_symmetry_space_group_name_H-M 'P -3 m 1'
_symmetry_Int_Tables_number 164
_symmetry_space_group_name_Hall '-P 3 2"'
loop_
_atom_site_label
_atom_site_type_symbol
_atom_site_fract_x
_atom_site_fract_y
_atom_site_fract_z
Ac1 Ac 0.0000 0.0000 0.0000
Ho1 Ho 0.0000 0.0000 0.5000
Al1 Al 0.3333 0.6667 0.2897
Zn1 Zn 0.3333 0.6667 0.6972
```

Properties
- Total moment: 0.00 μB per cell
- Energy relative to the elements: -40.8 kJ per mole of atoms

=====

Record 3
## PrNd5Sm2Er (GGA-PBE)

Data for crystalline PrNd5Sm2Er at its relaxed geometry.

Cell and atoms, written as CIF:
```
data_PrNd5Sm2Er
_cell_length_a 9.003
_cell_length_b 9.003
_cell_length_c 15.561
_cell_angle_alpha 90.00
_cell_angle_beta 90.00
_cell_angle_gamma 90.00
_symmetry_space_group_name_H-M 'I 4/m c m'
_symmetry_Int_Tables_number 140
_symmetry_space_group_name_Hall '-I 4 2c'
loop_
_atom_site_label
_atom_site_type_symbol
_atom_site_fract_x
_atom_site_fract_y
_atom_site_fract_z
Pr1 Pr 0.000 0.000 0.250
Nd1 Nd 0.000 0.000 0.000
Nd2 Nd 0.208 0.292 0.137
Sm1 Sm 0.115 0.385 0.500
Er1 Er 0.000 0.500 0.250
```

Properties
- Total moment: 0.00 μB per cell
- Energy relative to the elements: 27.0 kJ per mole of atoms

=====

Record 4
## CaPN2F (GGA-PBE)

Data for crystalline CaPN2F at its relaxed geometry.

Cell and atoms, written as CIF:
```
data_CaPN2F
_cell_length_a 3.519
_cell_length_b 3.519
_cell_length_c 4.318
_cell_angle_alpha 90.00
_cell_angle_beta 90.00
_cell_angle_gamma 90.00
_symmetry_space_group_name_H-M 'P 4/m m m'
_symmetry_Int_Tables_number 123
_symmetry_space_group_name_Hall '-P 4 2'
loop_
_atom_site_label
_atom_site_type_symbol
_atom_site_fract_x
_atom_site_fract_y
_atom_site_fract_z
Ca1 Ca 0.000 0.000 0.000
P1 P 0.500 0.500 0.500
N1 N 0.000 0.500 0.500
F1 F 0.500 0.500 0.000
```

Properties
- Distance to the lowest polymorph of the same formula: 0.0000 eV per atom
- E_form (uncorrected): -767.3 meV/atom
- Total moment: 0.00 μB per cell

=====

Record 5
## PaBN2O (GGA-PBE)

Data for crystalline PaBN2O at its relaxed geometry.

Cell and atoms, written as CIF:
```
data_PaBN2O
_cell_length_a 5.869
_cell_length_b 3.852
_cell_length_c 6.518
_cell_angle_alpha 90.00
_cell_angle_beta 93.15
_cell_angle_gamma 90.00
_symmetry_space_group_name_H-M 'P 1 21/m 1'
_symmetry_Int_Tables_number 11
loop_
_symmetry_equiv_pos_as_xyz
'x,y,z'
'-x,-y,-z'
'-x,y+1/2,-z'
'x,-y+1/2,z'
loop_
_atom_site_label
_atom_site_type_symbol
_atom_site_fract_x
_atom_site_fract_y
_atom_site_fract_z
Pa1 Pa 0.247 0.250 0.130
B1 B 0.376 0.250 0.639
N1 N 0.279 0.250 0.450
N2 N 0.470 0.250 0.834
O1 O 0.055 0.750 0.121
```

Properties
- E_form (uncorrected): -1685.3 meV/atom
- Total moment: 0.00 μB per cell

=====

Record 6
## PrNdAg4 (GGA-PBE)

Data for crystalline PrNdAg4 at its relaxed geometry.

Cell and atoms, written as CIF:
```
data_PrNdAg4
_cell_length_a 3.980
_cell_length_b 3.980
_cell_length_c 9.963
_cell_angle_alpha 90.00
_cell_angle_beta 90.00
_cell_angle_gamma 90.00
_symmetry_space_group_name_H-M 'P 4/m m m'
_symmetry_Int_Tables_number 123
_symmetry_space_group_name_Hall '-P 4 2'
loop_
_atom_site_label
_atom_site_type_symbol
_atom_site_fract_x
_atom_site_fract_y
_atom_site_fract_z
Pr1 Pr 0.000 0.000 0.000
Nd1 Nd 0.500 0.500 0.500
Ag1 Ag 0.000 0.500 0.252
```

Properties
- Distance to the lowest polymorph of the same formula: 0.2698 eV per atom
- Total moment: 0.00 μB per cell
- Energy relative to the elements: 1.4 kJ per mole of atoms